## Li2PCl (PBE)

Data for a relaxed Li2PCl crystal.

Cell lengths 2.9895, 2.9895, 7.0818 Å; angles 90.00, 90.00, 90.00 degrees
With the nearest neighbours (Å) after each atom.
Fractional coordinates of all 4 atoms:
Li 0.0000 0.0000 0.2233  4 Cl 2.64, 4 P 2.88
Li 0.0000 0.0000 0.7767  4 Cl 2.64, 4 P 2.88
P 0.5000 0.5000 0.5000  8 Li 2.88, 4 P 2.99
Cl 0.5000 0.5000 0.0000  8 Li 2.64

Calculated values
V: 63.3 Å³/cell
N(E_F): 1.2 states/eV/f.u.
Energy relative to the elements, uncorrected: -779 meV per atom
Energy above the most stable polymorph in this dataset: 64 meV per atom



## NpScMnOs (PBE)

Data for a relaxed NpScMnOs crystal.

Cell lengths 4.6574, 4.6574, 4.6574 Å; angles 60.00, 60.00, 60.00 degrees
With the nearest neighbours (Å) after each atom.
Fractional coordinates of all 4 atoms:
Np 0.0000 0.0000 0.0000  4 Mn 2.85, 4 Os 2.85
Sc 0.5000 0.5000 0.5000  4 Mn 2.85, 4 Os 2.85
Mn 0.7500 0.7500 0.7500  4 Sc 2.85, 4 Np 2.85
Os 0.2500 0.2500 0.2500  4 Sc 2.85, 4 Np 2.85

Calculated values
V: 71.4 Å³/cell
ΔE_f: -0.030 eV per atom
N(E_F): 7.5 states/eV/f.u.



## Zr2NbHg (PBE)

Data for a relaxed Zr2NbHg crystal.

Cell lengths 3.5313, 3.5313, 6.7768 Å; angles 90.00, 90.00, 90.00 degrees
With the nearest neighbours (Å) after each atom.
Fractional coordinates of all 4 atoms:
Zr 0.0000 0.0000 0.2338  4 Nb 2.96, 4 Hg 3.08, 1 Zr 3.17
Zr 0.0000 0.0000 0.7662  4 Nb 2.96, 4 Hg 3.08, 1 Zr 3.17
Nb 0.5000 0.5000 0.0000  8 Zr 2.96
Hg 0.5000 0.5000 0.5000  8 Zr 3.08, 2 Nb 3.39

Calculated values
V: 84.5 Å³/cell
ΔE_f: -0.106 eV per atom
N(E_F): 4.3 states/eV/f.u.



## VW8 (PBE)

Data for a relaxed VW8 crystal.

Cell lengths 6.9008, 6.9008, 6.9008 Å; angles 93.02, 93.02, 153.47 degrees
With the nearest neighbours (Å) after each atom.
Fractional coordinates of all 9 atoms:
V 0.0000 0.0000 0.0000  8 W 2.73
W 0.0000 0.3321 0.3321  8 W 2.74-2.76
W 0.0000 0.6679 0.6679  8 W 2.74-2.76
W 0.3321 0.0000 0.3321  8 W 2.74-2.76
W 0.3349 0.3349 0.6697  2 V 2.73, 6 W 2.74-2.78
W 0.3349 0.6651 0.0000  2 V 2.73, 6 W 2.74-2.78
W 0.6651 0.3349 0.0000  2 V 2.73, 6 W 2.74-2.78
W 0.6651 0.6651 0.3303  2 V 2.73, 6 W 2.74-2.78
W 0.6679 0.0000 0.6679  8 W 2.74-2.76

Calculated values
V: 142.9 Å³/cell
ΔE_f: -0.047 eV per atom
N(E_F): 3.4 states/eV/f.u.



## MgScRuPt (PBE)

Data for a relaxed MgScRuPt crystal.

Cell lengths 4.5113, 4.5113, 4.5113 Å; angles 60.00, 60.00, 60.00 degrees
With the nearest neighbours (Å) after each atom.
Fractional coordinates of all 4 atoms:
Mg 0.0000 0.0000 0.0000  4 Ru 2.76, 4 Pt 2.76
Sc 0.5000 0.5000 0.5000  4 Ru 2.76, 4 Pt 2.76
Ru 0.2500 0.2500 0.2500  4 Mg 2.76, 4 Sc 2.76
Pt 0.7500 0.7500 0.7500  4 Mg 2.76, 4 Sc 2.76

Calculated values
V: 64.9 Å³/cell
ΔE_f: -0.694 eV per atom
N(E_F): 2.4 states/eV/f.u.



## FeTeI5 (PBE)

Data for a relaxed FeTeI5 crystal.

Cell lengths 11.1845, 11.4543, 11.9552 Å; angles 90.00, 90.00, 90.00 degrees
With the nearest neighbours (Å) after each atom.
Fractional coordinates of all 28 atoms:
Fe 0.1177 0.2500 0.1132  4 I 2.50-2.61
Fe 0.3823 0.7500 0.6132  4 I 2.50-2.61
Fe 0.6177 0.2500 0.3868  4 I 2.50-2.61
Fe 0.8823 0.7500 0.8868  4 I 2.50-2.61
Te 0.1620 0.7500 0.2204  3 I 2.79-3.06
Te 0.3380 0.2500 0.7204  3 I 2.79-3.06
Te 0.6620 0.7500 0.2796  3 I 2.79-3.06
Te 0.8380 0.2500 0.7796  3 I 2.79-3.06
I 0.0930 0.7500 0.9761  1 Fe 2.59
I 0.1004 0.2500 0.6485  1 Te 2.79
I 0.1365 0.0723 0.2335  1 Fe 2.50
I 0.1365 0.4277 0.2335  1 Fe 2.50
I 0.2037 0.7500 0.4730  1 Fe 2.61
I 0.2963 0.2500 0.9730  1 Fe 2.61
I 0.3635 0.5723 0.7335  1 Fe 2.50
I 0.3635 0.9277 0.7335  1 Fe 2.50
I 0.3996 0.7500 0.1485  1 Te 2.79
I 0.4070 0.2500 0.4761  1 Fe 2.59
I 0.5930 0.7500 0.5239  1 Fe 2.59
I 0.6004 0.2500 0.8515  1 Te 2.79
I 0.6365 0.0723 0.2665  1 Fe 2.50
I 0.6365 0.4277 0.2665  1 Fe 2.50
I 0.7037 0.7500 0.0270  1 Fe 2.61
I 0.7963 0.2500 0.5270  1 Fe 2.61
I 0.8635 0.5723 0.7665  1 Fe 2.50
I 0.8635 0.9277 0.7665  1 Fe 2.50
I 0.8996 0.7500 0.3515  1 Te 2.79
I 0.9070 0.2500 0.0239  1 Fe 2.59

Calculated values
V: 1531.6 Å³/cell
N(E_F): 2.4 states/eV/f.u.
Energy relative to the elements, uncorrected: -54 meV per atom



## Ac3Cd3Ga8 (PBE)

Data for a relaxed Ac3Cd3Ga8 crystal.

Cell lengths 9.0981, 9.0981, 9.0981 Å; angles 150.60, 115.70, 72.25 degrees
With the nearest neighbours (Å) after each atom.
Fractional coordinates of all 14 atoms:
Ac 0.0000 0.0000 0.0000  12 Ga 3.47-3.56, 4 Cd 3.66
Ac 0.3021 0.3021 0.0000  12 Ga 3.25-3.58, 2 Cd 3.53
Ac 0.6979 0.6979 0.0000  12 Ga 3.25-3.58, 2 Cd 3.53
Cd 0.2937 0.5000 0.7937  2 Ga 2.83, 2 Cd 3.05
Cd 0.5000 0.0000 0.5000  4 Cd 3.05, 4 Ga 3.14
Cd 0.7063 0.5000 0.2063  2 Ga 2.83, 2 Cd 3.05
Ga 0.0270 0.6618 0.3651  4 Ga 2.61-2.87, 1 Cd 2.83
Ga 0.1208 0.8474 0.2734  3 Ga 2.67-2.87
Ga 0.2967 0.6618 0.6349  4 Ga 2.61-2.87, 1 Cd 2.83
Ga 0.4260 0.1526 0.2734  3 Ga 2.67-2.87
Ga 0.5740 0.8474 0.7266  3 Ga 2.67-2.87
Ga 0.7033 0.3382 0.3651  4 Ga 2.61-2.87, 1 Cd 2.83
Ga 0.8792 0.1526 0.7266  3 Ga 2.67-2.87
Ga 0.9730 0.3382 0.6349  4 Ga 2.61-2.87, 1 Cd 2.83

Calculated values
V: 328.6 Å³/cell
ΔE_f: -0.429 eV per atom
N(E_F): 5.0 states/eV/f.u.



## Nd8CoAu2 (PBE)

Data for a relaxed Nd8CoAu2 crystal.

Cell lengths 9.2600, 9.2600, 7.0864 Å; angles 98.74, 98.74, 32.15 degrees
With the nearest neighbours (Å) after each atom.
Fractional coordinates of all 11 atoms:
Nd 0.0239 0.0239 0.2814  2 Co 3.06, 1 Au 3.08, 1 Nd 3.34
Nd 0.2050 0.2050 0.8245  3 Au 2.98-3.21
Nd 0.3463 0.3463 0.5280  1 Co 2.77
Nd 0.4118 0.4118 0.0524  1 Co 3.31, 5 Nd 3.34-3.50, 2 Au 3.63
Nd 0.5882 0.5882 0.9476  1 Co 3.31, 5 Nd 3.34-3.50, 2 Au 3.63
Nd 0.6537 0.6537 0.4720  1 Co 2.77
Nd 0.7950 0.7950 0.1755  3 Au 2.98-3.21
Nd 0.9761 0.9761 0.7186  2 Co 3.06, 1 Au 3.08, 1 Nd 3.34
Co 0.5000 0.5000 0.5000  6 Nd 2.77-3.06
Au 0.1936 0.1936 0.2400  7 Nd 2.98-3.21
Au 0.8064 0.8064 0.7600  7 Nd 2.98-3.21

Calculated values
V: 319.3 Å³/cell
ΔE_f: -0.268 eV per atom
N(E_F): 11.4 states/eV/f.u.
Energy above the most stable polymorph in this dataset: 0 meV per atom



## Ta3Al5 (PBE)

Data for a relaxed Ta3Al5 crystal.

Cell lengths 5.8871, 5.8871, 3.7984 Å; angles 90.00, 90.00, 92.48 degrees
With the nearest neighbours (Å) after each atom.
Fractional coordinates of all 8 atoms:
Ta 0.0000 0.0000 0.0000  8 Al 2.82-2.94, 4 Ta 2.86
Ta 0.2619 0.2619 0.5000  10 Al 2.71-2.98, 2 Ta 2.86
Ta 0.7381 0.7381 0.5000  10 Al 2.71-2.98, 2 Ta 2.86
Al 0.0000 0.5000 0.0000  6 Al 2.78-2.94, 6 Ta 2.85-2.94
Al 0.2445 0.7555 0.5000  6 Al 2.78-2.89, 6 Ta 2.82-2.98
Al 0.5000 0.0000 0.0000  6 Al 2.78-2.94, 6 Ta 2.85-2.94
Al 0.5000 0.5000 0.0000  4 Ta 2.71, 8 Al 2.89-2.94
Al 0.7555 0.2445 0.5000  6 Al 2.78-2.89, 6 Ta 2.82-2.98

Calculated values
V: 131.5 Å³/cell
ΔE_f: -0.225 eV per atom
N(E_F): 3.5 states/eV/f.u.
Energy above the most stable polymorph in this dataset: 0 meV per atom



## Cr3BiAs (PBE)

Data for a relaxed Cr3BiAs crystal.

Cell lengths 5.1994, 5.1994, 5.1994 Å; angles 90.00, 90.00, 90.00 degrees
With the nearest neighbours (Å) after each atom.
Fractional coordinates of all 5 atoms:
Cr 0.0000 0.0000 0.5000  2 Bi 2.60
Cr 0.0000 0.5000 0.0000  2 Bi 2.60
Cr 0.5000 0.0000 0.0000  2 Bi 2.60
Bi 0.0000 0.0000 0.0000  6 Cr 2.60
As 0.5000 0.5000 0.5000  12 Cr 3.68

Calculated values
V: 140.6 Å³/cell
ΔE_f: 1.348 eV per atom
N(E_F): 1.7 states/eV/f.u.
Energy above the most stable polymorph in this dataset: 822 meV per atom